Entry from Alexandria via LeMat-Bulk: CoHN2O after structural relaxation (GGA+U).

Lattice parameters (Å, degrees): 3.486 3.486 3.953 90.00 90.00 90.00
Each line ends with the local moment (μB).
Fractional positions:
H 0.500 0.500 0.500  0.15
O 0.000 0.000 0.500  -0.29
N 0.500 0.000 0.000  -0.20
Co 0.000 0.000 0.000  -0.01
N 0.000 0.500 0.000  -0.20

Computed properties:
Calculated total energy in hartree per atom: -0.155
DOS at the Fermi energy in states/eV/cell: 3.343